The following is a DFT calculation (GGA-PBE) of a relaxed structure of ZnTc2O8.

```
ZnTc2O8
1.0
5.5383 -4.0837 0.0000
5.5383 4.0837 0.0000
-1.3014 0.0000 5.0566
Zn Tc O
1 2 8
direct
0.0000 0.0000 0.0000
0.1872 0.1872 0.6711
0.8128 0.8128 0.3289
0.0370 0.7001 0.1888
0.1272 0.1272 0.3196
0.2999 0.9630 0.8112
0.3463 0.3463 0.7431
0.6537 0.6537 0.2569
0.7001 0.0370 0.1888
0.8728 0.8728 0.6804
0.9630 0.2999 0.8112
```

Computed properties:
- crystal system = monoclinic
- formation energy (no corrections) (eV per atom) = -1.260

The following is a DFT calculation (GGA-PBE) of a relaxed structure of Mg2TaNiHg.

```
Mg2TaNiHg
1.0
4.5533 0.0000 0.0000
0.0000 4.5533 0.0000
0.0000 0.0000 4.8335
Mg Ta Ni Hg
2 1 1 1
direct
0.0000 0.5000 0.0000
0.5000 0.0000 0.0000
0.0000 0.0000 0.5000
0.5000 0.5000 0.0000
0.5000 0.5000 0.5000
```

Computed properties:
- crystal system = tetragonal
- ΔE to the lowest computed polymorph (eV per atom) = 0.000
- calculated formation energy (kJ per mole of atoms) = 76.2

The following is a DFT calculation (GGA-PBE) of a relaxed structure of KYRe2.

```
KYRe2
1.0
3.8826 0.0000 0.0000
0.0000 3.8826 0.0000
0.0000 0.0000 5.2195
K Y Re
1 1 2
direct
0.0000 0.0000 0.0000
0.5000 0.5000 0.0000
0.0000 0.5000 0.5000
0.5000 0.0000 0.5000
```

Computed properties:
- crystal system = tetragonal
- ΔE to the lowest computed polymorph (eV per atom) = 0.724
- calculated formation energy (kJ per mole of atoms) = 120.2